<1>
Compound: UMo
Source: OQMD
Functional: PBE-GGA
Structure: optimized geometry

## Properties
Total magnetic moment (Bohr magnetons per cell): 0.21

Cell lengths 3.0885, 3.0885, 4.5778 Å; angles 90.00, 90.00, 120.00 degrees
Space group P-6m2 (No. 187)
Unique sites:
U1 0.0000 0.0000 0.0000 [1 per cell]
Mo1 0.3333 0.6667 0.5000 [1 per cell]



<2>
Compound: UMo
Source: OQMD
Functional: PBE-GGA
Structure: optimized geometry

## Properties
Total magnetic moment (Bohr magnetons per cell): 0.04

Cell lengths 5.8221, 5.8221, 5.8221 Å; angles 90.00, 90.00, 90.00 degrees
Space group F-43m (No. 216)
Unique sites:
U1 0.0000 0.0000 0.0000 [4 per cell]
Mo1 0.2500 0.2500 0.2500 [4 per cell]



What should be chosen as the least stable of them? Choose <2>.



<1>
Compound: MoW2
Source: OQMD
Functional: PBE-GGA
Structure: optimized geometry

## Properties
Total magnetic moment (Bohr magnetons per cell): 0.00

Cell lengths 5.2403, 5.2403, 8.5613 Å; angles 90.00, 90.00, 120.00 degrees
Space group P6_3/mmc (No. 194)
Unique sites:
Mo1 0.3333 0.6667 0.0425 [4 per cell]
W1 0.0000 0.0000 0.0000 [2 per cell]
W2 0.1698 0.3395 0.7500 [6 per cell]



<2>
Compound: MoW2
Source: OQMD
Functional: PBE-GGA
Structure: optimized geometry

## Properties
Total magnetic moment (Bohr magnetons per cell): 0.02

Cell lengths 6.1058, 6.1058, 6.1058 Å; angles 90.00, 90.00, 90.00 degrees
Space group Fm-3m (No. 225)
Unique sites:
Mo1 0.0000 0.0000 0.0000 [4 per cell]
W1 0.2500 0.2500 0.2500 [8 per cell]



<3>
Compound: MoW2
Source: OQMD
Functional: PBE-GGA
Structure: optimized geometry

## Properties
Total magnetic moment (Bohr magnetons per cell): 0.00

Cell lengths 5.2295, 5.2295, 17.1654 Å; angles 90.00, 90.00, 120.00 degrees
Space group P6_3/mmc (No. 194)
Unique sites:
Mo1 0.0000 0.0000 0.1036 [4 per cell]
Mo2 0.3333 0.6667 0.1489 [4 per cell]
W1 0.0000 0.5000 0.0000 [6 per cell]
W2 0.1636 0.3273 0.7500 [6 per cell]
W3 0.3333 0.6667 0.6242 [4 per cell]



What should be chosen as the least stable of them? Choose <2>.



<1>
Compound: MoW
Source: OQMD
Functional: PBE-GGA
Structure: optimized geometry

## Properties
Total magnetic moment (Bohr magnetons per cell): 0.00

Cell lengths 3.1730, 3.1730, 3.1730 Å; angles 90.00, 90.00, 90.00 degrees
Space group Pm-3m (No. 221)
Unique sites:
Mo1 0.0000 0.0000 0.0000 [1 per cell]
W1 0.5000 0.5000 0.5000 [1 per cell]



<2>
Compound: MoW
Source: OQMD
Functional: PBE-GGA
Structure: optimized geometry

## Properties
Total magnetic moment (Bohr magnetons per cell): 0.00

Cell lengths 6.3453, 6.3453, 6.3453 Å; angles 90.00, 90.00, 90.00 degrees
Space group Fd-3m (No. 227, origin choice 2)
Unique sites:
Mo1 0.1250 0.1250 0.1250 [8 per cell]
W1 0.1250 0.1250 0.6250 [8 per cell]



<3>
Compound: MoW
Source: OQMD
Functional: PBE-GGA
Structure: optimized geometry

## Properties
Total magnetic moment (Bohr magnetons per cell): 0.00

Cell lengths 5.2369, 5.2369, 5.2369 Å; angles 90.00, 90.00, 90.00 degrees
Space group Fm-3m (No. 225)
Unique sites:
Mo1 0.0000 0.0000 0.0000 [4 per cell]
W1 0.0000 0.0000 0.5000 [4 per cell]



What should be chosen as the least stable of them? Choose <3>.



<1>
Compound: ZnMo2
Source: OQMD
Functional: PBE-GGA
Structure: optimized geometry

## Properties
Total magnetic moment (Bohr magnetons per cell): 0.02

Cell lengths 7.3886, 7.3886, 7.3886 Å; angles 90.00, 90.00, 90.00 degrees
Space group Fd-3m (No. 227, origin choice 2)
Unique sites:
Zn1 0.1250 0.1250 0.1250 [8 per cell]
Mo1 0.0000 0.0000 0.5000 [16 per cell]



<2>
Compound: ZnMo2
Source: OQMD
Functional: PBE-GGA
Structure: optimized geometry

## Properties
Total magnetic moment (Bohr magnetons per cell): 71.89

Cell lengths 11.6430, 11.6430, 11.6430 Å; angles 90.00, 90.00, 90.00 degrees
Space group Fd-3m (No. 227, origin choice 2)
Unique sites:
Zn1 0.1250 0.1250 0.1250 [8 per cell]
Mo1 0.0000 0.0000 0.0000 [16 per cell]



What should be chosen as the least stable of them? Choose <2>.



<1>
Compound: Zr3Mo
Source: OQMD
Functional: PBE-GGA
Structure: optimized geometry

## Properties
Total magnetic moment (Bohr magnetons per cell): 0.00

Cell lengths 6.2254, 6.2254, 5.0310 Å; angles 90.00, 90.00, 120.00 degrees
Space group P6_3/mmc (No. 194)
Unique sites:
Zr1 0.1726 0.3452 0.2500 [6 per cell]
Mo1 0.3333 0.6667 0.7500 [2 per cell]



<2>
Compound: Zr3Mo
Source: OQMD
Functional: PBE-GGA
Structure: optimized geometry

## Properties
Total magnetic moment (Bohr magnetons per cell): 0.07

Cell lengths 7.2014, 9.9705, 4.6211 Å; angles 90.00, 90.00, 90.00 degrees
Space group Cmcm (No. 63)
Unique sites:
Zr1 0.0000 0.1094 0.2500 [4 per cell]
Zr2 0.2222 0.3741 0.2500 [8 per cell]
Mo1 0.0000 0.3705 0.7500 [4 per cell]



What should be chosen as the least stable of them? Choose <1>.



<1>
Compound: Zr3Mo
Source: OQMD
Functional: PBE-GGA
Structure: optimized geometry

## Properties
Total magnetic moment (Bohr magnetons per cell): 0.03

Cell lengths 4.3817, 4.3817, 4.3817 Å; angles 90.00, 90.00, 90.00 degrees
Space group Pm-3m (No. 221)
Unique sites:
Zr1 0.0000 0.0000 0.5000 [3 per cell]
Mo1 0.5000 0.5000 0.5000 [1 per cell]



<2>
Compound: Zr3Mo
Source: OQMD
Functional: PBE-GGA
Structure: optimized geometry

## Properties
Total magnetic moment (Bohr magnetons per cell): 0.02

Cell lengths 4.8211, 6.8793, 4.9611 Å; angles 90.00, 90.00, 90.00 degrees
Space group Pmmn (No. 59, origin choice 2)
Unique sites:
Zr1 0.2500 0.0024 0.2276 [4 per cell]
Zr2 0.2500 0.2500 0.7032 [2 per cell]
Mo1 0.2500 0.7500 0.7243 [2 per cell]



What should be chosen as the least stable of them? Choose <1>.



<1>
Compound: NaNbNO
Source: OQMD
Functional: PBE-GGA
Structure: optimized geometry

## Properties
Total magnetic moment (Bohr magnetons per cell): 0.00

Cell lengths 3.1078, 3.1078, 4.3493 Å; angles 90.00, 90.00, 90.00 degrees
Space group P4/mmm (No. 123)
Unique sites:
Na1 0.0000 0.0000 0.0000 [1 per cell]
Nb1 0.5000 0.5000 0.5000 [1 per cell]
N1 0.0000 0.0000 0.5000 [1 per cell]
O1 0.5000 0.5000 0.0000 [1 per cell]



<2>
Compound: NaNbNO
Source: OQMD
Functional: PBE-GGA
Structure: optimized geometry

## Properties
Total magnetic moment (Bohr magnetons per cell): 1.84

Cell lengths 3.2778, 3.2778, 8.1062 Å; angles 90.00, 90.00, 90.00 degrees
Space group P4/nmm (No. 129, origin choice 2)
Unique sites:
Na1 0.2500 0.7500 0.0000 [2 per cell]
Nb1 0.2500 0.2500 0.3361 [2 per cell]
N1 0.2500 0.2500 0.7793 [2 per cell]
O1 0.2500 0.7500 0.5000 [2 per cell]



<3>
Compound: NaNbNO
Source: OQMD
Functional: PBE-GGA
Structure: optimized geometry

## Properties
Total magnetic moment (Bohr magnetons per cell): 0.01

Cell lengths 3.4476, 6.2496, 5.5712 Å; angles 90.00, 90.00, 90.00 degrees
Space group Pmc2_1 (No. 26)
Unique sites:
Na1 0.0000 0.1339 0.0000 [2 per cell]
Nb1 0.5000 0.3785 0.4890 [2 per cell]
N1 0.0000 0.2406 0.4160 [2 per cell]
O1 0.5000 0.3274 0.8516 [2 per cell]



What should be chosen as the least stable of them? Choose <2>.



<1>
Compound: NaNbNO
Source: OQMD
Functional: PBE-GGA
Structure: optimized geometry

## Properties
Total magnetic moment (Bohr magnetons per cell): 0.02

Cell lengths 3.6172, 6.1452, 5.4515 Å; angles 90.00, 90.00, 90.00 degrees
Space group Pmc2_1 (No. 26)
Unique sites:
Na1 0.0000 0.1527 0.0000 [2 per cell]
Nb1 0.5000 0.3528 0.4925 [2 per cell]
N1 0.5000 0.3576 0.8513 [2 per cell]
O1 0.0000 0.2180 0.4255 [2 per cell]



<2>
Compound: NaNbNO
Source: OQMD
Functional: PBE-GGA
Structure: optimized geometry

## Properties
Total magnetic moment (Bohr magnetons per cell): 0.01

Cell lengths 5.9797, 5.9588, 5.6917 Å; angles 90.00, 90.12, 90.00 degrees
Space group Cm (No. 8)
Unique sites:
Na1 0.0000 0.0000 0.0000 [2 per cell]
Na2 0.0023 0.5000 0.0006 [2 per cell]
Nb1 0.2522 0.2389 0.4760 [4 per cell]
N1 0.0080 0.5000 0.5740 [2 per cell]
N2 0.4968 0.5000 0.5735 [2 per cell]
O1 0.2515 0.2501 0.1498 [4 per cell]



What should be chosen as the least stable of them? Choose <1>.